Record 1
First-principles (PBE) data for a relaxed Pu2BeGe3Pt4 crystal, as listed in the Alexandria database.

## Properties
Uncorrected energy in eV per atom: -7.73
Energy of formation from the pure elements in eV/atom: -0.686
Density of states at the Fermi level in states/eV per cell: 28.118

Cell and atoms, written as CIF:
```
data_Pu2BeGe3Pt4
_cell_length_a 4.224
_cell_length_b 4.224
_cell_length_c 10.246
_cell_angle_alpha 90.00
_cell_angle_beta 90.00
_cell_angle_gamma 90.00
_symmetry_space_group_name_H-M 'P -4 m 2'
_symmetry_Int_Tables_number 115
_symmetry_space_group_name_Hall 'P -4 -2'
loop_
_atom_site_label
_atom_site_type_symbol
_atom_site_fract_x
_atom_site_fract_y
_atom_site_fract_z
Pu1 Pu 0.000 0.500 0.239
Be1 Be 0.500 0.500 0.000
Ge1 Ge 0.000 0.000 0.000
Ge2 Ge 0.000 0.500 0.639
Pt1 Pt 0.000 0.000 0.500
Pt2 Pt 0.000 0.500 0.879
Pt3 Pt 0.500 0.500 0.500
```



Record 2
First-principles (PBE) data for a relaxed ReSi2Au crystal, as listed in the Alexandria database.

## Properties
Uncorrected energy in eV per atom: -6.19
Formation energy (no corrections) in eV per atom: 0.4501
ΔE to the lowest computed polymorph in meV per atom: 469.1
Density of states at the Fermi level in states/eV per cell: 3.894

Cell and atoms, written as CIF:
```
data_ReSi2Au
_cell_length_a 3.259
_cell_length_b 4.544
_cell_length_c 8.335
_cell_angle_alpha 90.00
_cell_angle_beta 90.00
_cell_angle_gamma 90.00
_symmetry_space_group_name_H-M 'C m m 2'
_symmetry_Int_Tables_number 35
_symmetry_space_group_name_Hall 'C 2 -2'
loop_
_atom_site_label
_atom_site_type_symbol
_atom_site_fract_x
_atom_site_fract_y
_atom_site_fract_z
Re1 Re 0.000 0.000 0.000
Si1 Si 0.000 0.000 0.453
Si2 Si 0.000 0.500 0.220
Au1 Au 0.000 0.500 0.708
```



Record 3
First-principles (PBE) data for a relaxed CeThPa2P4 crystal, as listed in the Alexandria database.

## Properties
Uncorrected energy in eV per atom: -8.17
Energy of formation from the pure elements in eV/atom: -1.427
Density of states at the Fermi level in states/eV per cell: 8.371

Cell and atoms, written as CIF:
```
data_CeThPa2P4
_cell_length_a 6.986
_cell_length_b 4.041
_cell_length_c 7.005
_cell_angle_alpha 90.00
_cell_angle_beta 109.49
_cell_angle_gamma 90.00
_symmetry_space_group_name_H-M 'P 1 2/m 1'
_symmetry_Int_Tables_number 10
_symmetry_space_group_name_Hall '-P 2y'
loop_
_atom_site_label
_atom_site_type_symbol
_atom_site_fract_x
_atom_site_fract_y
_atom_site_fract_z
Ce1 Ce 0.000 0.000 0.000
Th1 Th 0.500 0.500 0.000
Pa1 Pa 0.000 0.500 0.500
Pa2 Pa 0.500 0.000 0.500
P1 P 0.244 0.000 0.738
P2 P 0.252 0.500 0.261
```



Record 4
First-principles (PBE) data for a relaxed EuPaZnRh crystal, as listed in the Alexandria database.

## Properties
Uncorrected energy in eV per atom: -7.27
Energy of formation from the pure elements in eV/atom: -0.175
Density of states at the Fermi level in states/eV per cell: 22.998

Cell and atoms, written as CIF:
```
data_EuPaZnRh
_cell_length_a 7.062
_cell_length_b 7.062
_cell_length_c 7.062
_cell_angle_alpha 90.00
_cell_angle_beta 90.00
_cell_angle_gamma 90.00
_symmetry_space_group_name_H-M 'F -4 3 m'
_symmetry_Int_Tables_number 216
_symmetry_space_group_name_Hall 'F -4 2 3'
loop_
_atom_site_label
_atom_site_type_symbol
_atom_site_fract_x
_atom_site_fract_y
_atom_site_fract_z
Eu1 Eu 0.000 0.000 0.000
Pa1 Pa 0.000 0.000 0.500
Zn1 Zn 0.250 0.250 0.750
Rh1 Rh 0.250 0.250 0.250
```



Record 5
First-principles (PBE) data for a relaxed CsY3Os crystal, as listed in the Alexandria database.

## Properties
Uncorrected energy in eV per atom: -6.12
Energy of formation from the pure elements in eV/atom: 0.179
Density of states at the Fermi level in states/eV per cell: 0.917

Cell and atoms, written as CIF:
```
data_CsY3Os
_cell_length_a 5.607
_cell_length_b 5.607
_cell_length_c 5.607
_cell_angle_alpha 90.00
_cell_angle_beta 90.00
_cell_angle_gamma 90.00
_symmetry_space_group_name_H-M 'P m -3 m'
_symmetry_Int_Tables_number 221
_symmetry_space_group_name_Hall '-P 4 2 3'
loop_
_atom_site_label
_atom_site_type_symbol
_atom_site_fract_x
_atom_site_fract_y
_atom_site_fract_z
Cs1 Cs 0.000 0.000 0.000
Y1 Y 0.000 0.500 0.500
Os1 Os 0.500 0.500 0.500
```



Record 6
First-principles (PBE) data for a relaxed Na2LiRh2O6 crystal, as listed in the Alexandria database.

## Properties
Uncorrected energy in eV per atom: -5.62
Formation energy (no corrections) in eV per atom: -1.1604
Density of states at the Fermi level in states/eV per cell: 6.620

Cell and atoms, written as CIF:
```
data_Na2LiRh2O6
_cell_length_a 5.206
_cell_length_b 9.270
_cell_length_c 5.699
_cell_angle_alpha 90.00
_cell_angle_beta 106.14
_cell_angle_gamma 90.00
_symmetry_space_group_name_H-M 'C 1 2/m 1'
_symmetry_Int_Tables_number 12
_symmetry_space_group_name_Hall '-C 2y'
loop_
_atom_site_label
_atom_site_type_symbol
_atom_site_fract_x
_atom_site_fract_y
_atom_site_fract_z
Na1 Na 0.000 0.158 0.000
Li1 Li 0.000 0.000 0.500
Rh1 Rh 0.000 0.336 0.500
O1 O 0.208 0.500 0.694
O2 O 0.237 0.183 0.697
```



- Which formula does entry 5 have?
  CsY3Os



Repeat the fourth record exactly.
First-principles (PBE) data for a relaxed EuPaZnRh crystal, as listed in the Alexandria database.

## Properties
Uncorrected energy in eV per atom: -7.27
Energy of formation from the pure elements in eV/atom: -0.175
Density of states at the Fermi level in states/eV per cell: 22.998

Cell and atoms, written as CIF:
```
data_EuPaZnRh
_cell_length_a 7.062
_cell_length_b 7.062
_cell_length_c 7.062
_cell_angle_alpha 90.00
_cell_angle_beta 90.00
_cell_angle_gamma 90.00
_symmetry_space_group_name_H-M 'F -4 3 m'
_symmetry_Int_Tables_number 216
_symmetry_space_group_name_Hall 'F -4 2 3'
loop_
_atom_site_label
_atom_site_type_symbol
_atom_site_fract_x
_atom_site_fract_y
_atom_site_fract_z
Eu1 Eu 0.000 0.000 0.000
Pa1 Pa 0.000 0.000 0.500
Zn1 Zn 0.250 0.250 0.750
Rh1 Rh 0.250 0.250 0.250
```



- Which value of density of states at the Fermi level does entry 1 give?
  28.118 states/eV per cell



- Which of these has the highest density of states at the Fermi level?
  Pu2BeGe3Pt4